(1)
A relaxed structure of Pr3ZnRu. Source: Alexandria via LeMat-Bulk, functional PBE-GGA.

Cell: 5.4808 5.4808 5.4808 Å, 90.00 90.00 90.00°
With the nearest neighbours (Å) after each atom.
Atoms (fractional coordinates):
Pr: 0.0000 0.5000 0.0000  2 Ru 2.74
Pr: 0.0000 0.0000 0.5000  2 Ru 2.74
Pr: 0.5000 0.0000 0.0000  2 Ru 2.74
Ru: 0.0000 0.0000 0.0000  6 Pr 2.74
Zn: 0.5000 0.5000 0.5000  12 Pr 3.88

## Properties
Raw total energy ... -4.92 eV per atom
Offset from the most stable computed form ... 0.276 eV per atom
SG ... Pm-3m (221)
Volume ... 165 Å³/cell
E_form ... 0.30 eV per formula unit
Size of the total moment ... 0.000 μB/f.u.


(2)
A relaxed structure of Pr2ZnRu2. Source: Alexandria via LeMat-Bulk, functional PBE-GGA.

Cell: 5.6158 5.7051 8.1777 Å, 103.53 90.00 119.48°
With the nearest neighbours (Å) after each atom.
Atoms (fractional coordinates):
Pr: 0.4930 0.2918 0.1452  6 Ru 2.98-3.26, 1 Zn 3.24
Pr: 0.2013 0.7082 0.3548  6 Ru 2.98-3.26, 1 Zn 3.24
Pr: 0.5070 0.7082 0.8548  6 Ru 2.98-3.26, 1 Zn 3.24
Pr: 0.7987 0.2918 0.6452  6 Ru 2.98-3.26, 1 Zn 3.24
Zn: 0.8756 0.0000 0.2500  4 Ru 2.67-2.70
Zn: 0.1244 0.0000 0.7500  4 Ru 2.67-2.70
Ru: 0.7111 0.7231 0.4872  1 Ru 2.54, 2 Zn 2.67-2.70
Ru: 0.9880 0.2769 0.0128  1 Ru 2.54, 2 Zn 2.67-2.70
Ru: 0.2889 0.2769 0.5128  1 Ru 2.54, 2 Zn 2.67-2.70
Ru: 0.0120 0.7231 0.9872  1 Ru 2.54, 2 Zn 2.67-2.70

## Properties
Raw total energy ... -6.07 eV per atom
SG ... C2/c (15)
Volume ... 220 Å³/cell
E_form ... -0.98 eV per formula unit
Size of the total moment ... 0.001 μB/f.u.


(3)
A relaxed structure of PrZn6Ru. Source: Alexandria via LeMat-Bulk, functional PBE-GGA.

Cell: 6.6202 6.6202 5.4552 Å, 52.64 52.64 60.00°
With the nearest neighbours (Å) after each atom.
Atoms (fractional coordinates):
Pr: 0.5000 0.5000 0.5000  6 Zn 3.10
Zn: 0.8616 0.8616 0.7956  3 Zn 2.48-2.52, 1 Ru 2.50
Zn: 0.4812 0.8616 0.7956  3 Zn 2.48-2.52, 1 Ru 2.50
Zn: 0.1384 0.5188 0.2044  3 Zn 2.48-2.52, 1 Ru 2.50
Zn: 0.5188 0.1384 0.2044  3 Zn 2.48-2.52, 1 Ru 2.50
Zn: 0.1384 0.1384 0.2044  3 Zn 2.48-2.52, 1 Ru 2.50
Zn: 0.8616 0.4812 0.7956  3 Zn 2.48-2.52, 1 Ru 2.50
Ru: 0.0000 0.0000 0.0000  6 Zn 2.50

## Properties
Raw total energy ... -2.76 eV per atom
SG ... R-3m (166)
Volume ... 148 Å³/cell
E_form ... -0.41 eV per formula unit
Size of the total moment ... 0.000 μB/f.u.


(4)
A relaxed structure of Pr3Zn8Ru. Source: Alexandria via LeMat-Bulk, functional PBE-GGA.

Cell: 5.3502 5.3502 9.8878 Å, 74.30 74.30 60.00°
With the nearest neighbours (Å) after each atom.
Atoms (fractional coordinates):
Pr: 0.3781 0.3781 0.8658  12 Zn 3.17-3.53, 3 Pr 3.48
Pr: 0.9875 0.9875 0.0375  1 Ru 2.77, 6 Zn 3.10
Pr: 0.5050 0.5050 0.4851  12 Zn 3.06-3.23, 3 Ru 3.41
Zn: 0.9351 0.4300 0.2049  6 Zn 2.65-2.91, 2 Ru 2.93
Zn: 0.4448 0.9385 0.6783  6 Zn 2.64-2.92
Zn: 0.4300 0.4300 0.2049  6 Zn 2.65-2.91, 2 Ru 2.93
Zn: 0.9385 0.9385 0.6783  6 Zn 2.64-2.92
Zn: 0.1881 0.1881 0.4356  6 Zn 2.65-2.76
Zn: 0.6854 0.6854 0.9439  6 Zn 2.91-2.92, 6 Pr 3.17-3.21
Zn: 0.4300 0.9351 0.2049  6 Zn 2.65-2.91, 2 Ru 2.93
Zn: 0.9385 0.4448 0.6783  6 Zn 2.64-2.92
Ru: 0.8891 0.8891 0.3326  1 Pr 2.77, 6 Zn 2.93

## Properties
Raw total energy ... -3.03 eV per atom
SG ... R3m (160)
Volume ... 233 Å³/cell
E_form ... -2.49 eV per formula unit
Size of the total moment ... 0.000 μB/f.u.


(5)
A relaxed structure of Pr3Zn9Ru2. Source: Alexandria via LeMat-Bulk, functional PBE-GGA.

Cell: 4.4092 8.2151 8.2151 Å, 70.00 74.43 74.43°
With the nearest neighbours (Å) after each atom.
Atoms (fractional coordinates):
Pr: 0.0000 0.0000 0.0000  12 Zn 3.06-3.27
Pr: 0.6949 0.3051 0.3051  2 Ru 2.99, 10 Zn 3.16-3.32
Pr: 0.3051 0.6949 0.6949  2 Ru 2.99, 10 Zn 3.16-3.32
Zn: 0.0000 0.5000 0.5000  4 Zn 2.58, 4 Ru 2.77
Zn: 0.6569 0.9873 0.6990  3 Zn 2.59-2.72, 1 Ru 2.61
Zn: 0.3431 0.0127 0.3010  3 Zn 2.59-2.72, 1 Ru 2.61
Zn: 0.6569 0.6990 0.9873  3 Zn 2.59-2.72, 1 Ru 2.61
Zn: 0.3431 0.3010 0.0127  3 Zn 2.59-2.72, 1 Ru 2.61
Zn: 0.8786 0.8404 0.4023  3 Zn 2.58-2.59, 2 Ru 2.72
Zn: 0.1214 0.1596 0.5977  3 Zn 2.58-2.59, 2 Ru 2.72
Zn: 0.8786 0.4023 0.8404  3 Zn 2.58-2.59, 2 Ru 2.72
Zn: 0.1214 0.5977 0.1596  3 Zn 2.58-2.59, 2 Ru 2.72
Ru: 0.5000 0.3224 0.6776  8 Zn 2.61-2.77
Ru: 0.5000 0.6776 0.3224  8 Zn 2.61-2.77

## Properties
Raw total energy ... -3.44 eV per atom
SG ... Immm (71)
Volume ... 264 Å³/cell
E_form ... -3.79 eV per formula unit
Size of the total moment ... 0.000 μB/f.u.


(6)
A relaxed structure of Pr4Zn3Ru2. Source: Alexandria via LeMat-Bulk, functional PBE-GGA.

Cell: 4.0232 7.2608 8.3077 Å, 111.66 104.01 90.00°
With the nearest neighbours (Å) after each atom.
Atoms (fractional coordinates):
Pr: 0.2255 0.6962 0.4510  2 Ru 2.90, 1 Zn 3.18
Pr: 0.7745 0.3038 0.5490  2 Ru 2.90, 1 Zn 3.18
Pr: 0.5673 0.8686 0.1346  2 Ru 2.86-3.18, 2 Zn 3.19
Pr: 0.4327 0.1314 0.8654  2 Ru 2.86-3.18, 2 Zn 3.19
Zn: 0.1024 0.2344 0.2048  2 Ru 2.62
Zn: 0.8976 0.7656 0.7952  2 Ru 2.62
Zn: 0.0000 0.5000 0.0000  4 Ru 2.65
Ru: 0.3998 0.5362 0.7997  4 Zn 2.62-2.65, 3 Pr 2.86-2.90
Ru: 0.6002 0.4638 0.2003  4 Zn 2.62-2.65, 3 Pr 2.86-2.90

## Properties
Raw total energy ... -4.85 eV per atom
SG ... C2/m (12)
Volume ... 218 Å³/cell
E_form ... -2.20 eV per formula unit
Size of the total moment ... 0.000 μB/f.u.